[1]
An optimized crystal structure of ZnCrSe2, computed with PBE.

Output
DOS(E_F) ... 0.516 states/eV per atom
Crystal system ... orthorhombic
VASP energy ... -37.9 eV for the cell shown

a b c (Å): 3.6421 3.6352 13.4986
angles (deg): 90.00 90.00 90.00
Last column: nearest neighbours and their distance in Å.
Space group Amm2 (No. 38)
Asymmetric unit:
Zn: 0.0000 0.0000 0.0000 (multiplicity 2)  5 Se 2.62
Cr: 0.5000 0.0000 0.3453 (multiplicity 2)  5 Se 2.58-2.63
Se: 0.0000 0.0000 0.8057 (multiplicity 2)  1 Zn 2.62, 4 Cr 2.63
Se: 0.5000 0.0000 0.5364 (multiplicity 2)  1 Cr 2.58, 4 Zn 2.62



[2]
An optimized crystal structure of ZnCr2Se4, computed with PBE.

Output
DOS(E_F) ... 0.375 states/eV per atom
Crystal system ... cubic
VASP energy ... -308.8 eV for the cell shown

a b c (Å): 10.5937 10.5937 10.5937
angles (deg): 90.00 90.00 90.00
Last column: nearest neighbours and their distance in Å.
Space group Fd-3m (No. 227, origin choice 2)
Asymmetric unit:
Zn: 0.1250 0.1250 0.1250 (multiplicity 8)  4 Se 2.49
Cr: 0.0000 0.0000 0.5000 (multiplicity 16)  6 Se 2.54
Se: 0.0104 0.0104 0.7396 (multiplicity 32)  1 Zn 2.49, 3 Cr 2.54